This record from Alexandria describes a relaxed TbTl3Bi2Te6 crystal. The functional is GGA-PBE.

Properties
* formation energy (no corrections): -6.7 eV per formula unit
* raw total energy: -45.01 eV per cell
* total moment: 0.000 μB per cell

```
12
Lattice="-6.646 3.707 2.054 -0.250 -6.011 -5.093 1.324 -4.370 7.126" Properties=species:S:1:pos:R:3 pbc="T T T"
Tb 0.000 0.000 0.000
Tl -0.658 -6.570 -0.334
Tl -4.914 -0.104 4.421
Tl -2.786 -3.337 2.043
Bi -2.385 -2.766 -2.707
Bi -4.510 0.463 -0.332
Te -5.277 -3.572 4.427
Te -4.839 -2.663 -0.710
Te -0.295 -3.101 -0.340
Te -3.171 -6.771 2.075
Te -0.733 -4.011 4.797
Te -2.400 0.097 2.012
```